Below is crystalline TmVCdO5 at its relaxed geometry, with properties calculated at the GGA+U level.

D(E_F): 0.0 states/eV per cell
DFT total energy: -55.53 eV per formula unit
total moment: 0.00 μB/f.u.

a = 6.075 Å, b = 6.075 Å, c = 8.069 Å
α = 108.60°, β = 108.60°, γ = 94.72°
Atoms (fractional coordinates):
O: 0.775 0.265 0.085
O: 0.669 0.709 0.857
O: 0.735 0.225 0.415
O: 0.291 0.331 0.643
O: 0.331 0.291 0.143
O: 0.265 0.775 0.585
Cd: 0.685 0.315 0.750
Tm: 0.000 0.000 0.000
O: 0.225 0.735 0.915
Cd: 0.315 0.685 0.250
O: 0.709 0.669 0.357
Tm: 0.000 0.000 0.500
O: 0.085 0.915 0.250
V: 0.356 0.644 0.750
V: 0.644 0.356 0.250
O: 0.915 0.085 0.750